Here is a relaxed NiPtF2 crystal from Alexandria via LeMat-Bulk. Energies are from PBE with a Hubbard U.

- Final energy: -17.03 eV per cell
- E above lowest polymorph: 0.0 kJ/mol of atoms
- SG: R-3m, No. 166

Cell and atoms, written as extended XYZ:
```
4
Lattice="1.4018 0.8094 9.2213 -1.4018 0.8094 9.2213 0.0000 -1.6187 9.2213" Properties=species:S:1:pos:R:3 pbc="T T T"
Ni 0.0000 0.0000 0.0000
Pt 0.0000 0.0000 13.8319
F 0.0000 0.0000 10.3609
F 0.0000 0.0000 17.3030
```